Ba5Cd4: relaxed, PBE.

The structure in POSCAR format:
```
Ba5Cd4
1.0
10.746 0.000 0.000
-5.373 9.306 0.000
0.000 0.000 7.659
Ba Cd
10 8
direct
0.000 0.281 0.250
0.000 0.719 0.750
0.281 0.000 0.250
0.281 0.281 0.750
0.333 0.667 0.000
0.333 0.667 0.500
0.667 0.333 0.000
0.667 0.333 0.500
0.719 0.000 0.750
0.719 0.719 0.250
0.000 0.000 0.000
0.000 0.000 0.500
0.000 0.387 0.750
0.000 0.613 0.250
0.387 0.000 0.750
0.387 0.387 0.250
0.613 0.000 0.250
0.613 0.613 0.750
```

Results
Calculated formation energy (eV per atom): -0.21
Space group: No. 193
E above lowest polymorph (meV per atom): 33

=====

Ba3Cd: relaxed, PBE.

The structure in POSCAR format:
```
Ba3Cd
1.0
-3.189 3.189 9.339
3.189 -3.189 9.339
3.189 3.189 -9.339
Ba Cd
6 2
direct
0.000 0.500 0.500
0.128 0.128 0.000
0.250 0.750 0.500
0.500 0.000 0.500
0.750 0.250 0.500
0.872 0.872 0.000
0.360 0.360 0.000
0.640 0.640 0.000
```

Results
Calculated formation energy (eV per atom): -0.03
Space group: No. 139
E above lowest polymorph (meV per atom): 122

=====

BaCd2: relaxed, PBE.

The structure in POSCAR format:
```
BaCd2
1.0
7.300 -2.329 0.000
7.300 2.329 0.000
-1.140 0.000 6.140
Ba Cd
2 4
direct
0.103 0.103 0.308
0.897 0.897 0.692
0.222 0.222 0.848
0.409 0.409 0.206
0.591 0.591 0.794
0.778 0.778 0.152
```

Results
Calculated formation energy (eV per atom): -0.27
Space group: No. 12

=====

Ba3Cd: relaxed, PBE.

The structure in POSCAR format:
```
Ba3Cd
1.0
4.284 0.000 0.000
0.000 4.442 0.000
0.000 0.000 11.774
Ba Cd
3 1
direct
0.000 0.000 0.000
0.000 0.500 0.327
0.500 0.500 0.706
0.500 0.000 0.472
```

Results
Calculated formation energy (eV per atom): -0.01
Space group: No. 25
E above lowest polymorph (meV per atom): 144

=====

Ba3Cd2: relaxed, PBE.

The structure in POSCAR format:
```
Ba3Cd2
1.0
4.163 2.403 7.935
-4.163 2.403 7.935
0.000 -4.807 7.935
Ba Cd
6 4
direct
0.155 0.750 0.345
0.250 0.655 0.845
0.345 0.155 0.750
0.655 0.845 0.250
0.750 0.345 0.155
0.845 0.250 0.655
0.190 0.190 0.190
0.310 0.310 0.310
0.690 0.690 0.690
0.810 0.810 0.810
```

Results
Calculated formation energy (eV per atom): -0.16
Space group: No. 167
E above lowest polymorph (meV per atom): 94

=====

Ba3Cd2: relaxed, PBE.

The structure in POSCAR format:
```
Ba3Cd2
1.0
2.249 1.298 13.849
-2.249 1.298 13.849
0.000 -2.597 13.849
Ba Cd
3 2
direct
0.000 0.000 0.000
0.214 0.214 0.214
0.786 0.786 0.786
0.394 0.394 0.394
0.606 0.606 0.606
```

Results
Calculated formation energy (eV per atom): -0.10
Space group: No. 166
E above lowest polymorph (meV per atom): 163

=====

Ba3Cd: relaxed, PBE.

The structure in POSCAR format:
```
Ba3Cd
1.0
2.237 1.292 12.622
-2.237 1.292 12.622
0.000 -2.583 12.622
Ba Cd
3 1
direct
0.000 0.000 0.000
0.233 0.233 0.233
0.767 0.767 0.767
0.500 0.500 0.500
```

Results
Calculated formation energy (eV per atom): -0.05
Space group: No. 166
E above lowest polymorph (meV per atom): 104

=====

Ba3Cd: relaxed, PBE.

The structure in POSCAR format:
```
Ba3Cd
1.0
-2.212 3.277 6.943
2.212 -3.277 6.943
2.212 3.277 -6.943
Ba Cd
3 1
direct
0.000 0.000 0.000
0.298 0.798 0.500
0.702 0.202 0.500
0.500 0.500 0.000
```

Results
Calculated formation energy (eV per atom): -0.12
Space group: No. 71
E above lowest polymorph (meV per atom): 40

=====

BaCd2: relaxed, PBE.

The structure in POSCAR format:
```
BaCd2
1.0
7.341 -2.336 0.000
7.341 2.336 0.000
-3.143 0.000 6.068
Ba Cd
2 4
direct
0.175 0.175 0.175
0.825 0.825 0.825
0.114 0.114 0.615
0.498 0.498 0.268
0.502 0.502 0.732
0.886 0.886 0.385
```

Results
Calculated formation energy (eV per atom): -0.25
Space group: No. 12

=====

Ba3Cd: relaxed, PBE.

The structure in POSCAR format:
```
Ba3Cd
1.0
8.915 0.000 0.000
0.000 11.589 0.000
0.000 0.000 7.986
Ba Cd
12 4
direct
0.021 0.250 0.119
0.183 0.058 0.672
0.183 0.442 0.672
0.317 0.558 0.172
0.317 0.942 0.172
0.479 0.750 0.619
0.521 0.250 0.381
0.683 0.058 0.828
0.683 0.442 0.828
0.817 0.558 0.328
0.817 0.942 0.328
0.979 0.750 0.881
0.108 0.750 0.455
0.392 0.250 0.955
0.608 0.750 0.045
0.892 0.250 0.545
```

Results
Calculated formation energy (eV per atom): -0.13
Space group: No. 62
E above lowest polymorph (meV per atom): 22

=====

BaCd2: relaxed, PBE.

The structure in POSCAR format:
```
BaCd2
1.0
0.000 3.985 3.985
3.985 0.000 3.985
3.985 3.985 0.000
Ba Cd
1 2
direct
0.000 0.000 0.000
0.250 0.250 0.250
0.750 0.750 0.750
```

Results
Calculated formation energy (eV per atom): 0.07
Space group: No. 225

=====

Ba7Cd: relaxed, PBE.

The structure in POSCAR format:
```
Ba7Cd
1.0
0.000 6.077 6.077
6.077 0.000 6.077
6.077 6.077 0.000
Ba Cd
7 1
direct
0.000 0.000 0.000
0.000 0.000 0.500
0.000 0.500 0.000
0.000 0.500 0.500
0.500 0.000 0.000
0.500 0.000 0.500
0.500 0.500 0.000
0.500 0.500 0.500
```

Results
Calculated formation energy (eV per atom): 0.03
Space group: No. 225

=====

no.,E (eV/atom)
1,-1.68
2,-1.71
3,-1.52
4,-1.68
5,-1.68
6,-1.62
7,-1.72
8,-1.79
9,-1.51
10,-1.81
11,-1.18
12,-1.76